(1)
# GGA-PBE Hf2Al2VFe5, relaxed
data_Hf2Al2VFe5
_chemical_formula_sum 'Hf4 Al4 V2 Fe10'
_symmetry_space_group_name_H-M 'P 4/m b m'
_symmetry_Int_Tables_number 127
_symmetry_space_group_name_Hall '-P 4 2ab'
_cell_length_a 9.316
_cell_length_b 9.316
_cell_length_c 3.146
_cell_angle_alpha 90.00
_cell_angle_beta 90.00
_cell_angle_gamma 90.00
loop_
_atom_site_label
_atom_site_type_symbol
_atom_site_fract_x
_atom_site_fract_y
_atom_site_fract_z
Hf1 Hf 0.170 0.330 0.000
Al1 Al 0.128 0.628 0.000
V1 V 0.000 0.000 0.000
Fe1 Fe 0.000 0.500 0.500
Fe2 Fe 0.062 0.806 0.500
# - energy of formation (eV per atom) = -0.148
# - total magnetic moment (μB/f.u.) = 1.6

(2)
# GGA-PBE Hf2Al2Fe5W, relaxed
data_Hf2Al2Fe5W
_chemical_formula_sum 'Hf4 Al4 Fe10 W2'
_symmetry_space_group_name_H-M 'P 4/m b m'
_symmetry_Int_Tables_number 127
_symmetry_space_group_name_Hall '-P 4 2ab'
_cell_length_a 9.383
_cell_length_b 9.383
_cell_length_c 3.148
_cell_angle_alpha 90.00
_cell_angle_beta 90.00
_cell_angle_gamma 90.00
loop_
_atom_site_label
_atom_site_type_symbol
_atom_site_fract_x
_atom_site_fract_y
_atom_site_fract_z
Hf1 Hf 0.171 0.329 0.000
Al1 Al 0.126 0.626 0.000
Fe1 Fe 0.000 0.500 0.500
Fe2 Fe 0.064 0.801 0.500
W1 W 0.000 0.000 0.000
# - energy of formation (eV per atom) = -0.131
# - total magnetic moment (μB/f.u.) = 0.6

(3)
# GGA-PBE AlFe4Hg, relaxed
data_AlFe4Hg
_chemical_formula_sum 'Al4 Fe16 Hg4'
_symmetry_space_group_name_H-M 'F -4 3 m'
_symmetry_Int_Tables_number 216
_symmetry_space_group_name_Hall 'F -4 2 3'
_cell_length_a 6.917
_cell_length_b 6.917
_cell_length_c 6.917
_cell_angle_alpha 90.00
_cell_angle_beta 90.00
_cell_angle_gamma 90.00
loop_
_atom_site_label
_atom_site_type_symbol
_atom_site_fract_x
_atom_site_fract_y
_atom_site_fract_z
Al1 Al 0.000 0.000 0.000
Fe1 Fe 0.126 0.126 0.626
Hg1 Hg 0.250 0.250 0.250
# - energy of formation (eV per atom) = 0.179
# - total magnetic moment (μB/f.u.) = 8.9

(4)
# GGA-PBE AlFeHg, relaxed
data_AlFeHg
_chemical_formula_sum 'Al2 Fe2 Hg2'
_symmetry_space_group_name_H-M 'I 4 m m'
_symmetry_Int_Tables_number 107
_symmetry_space_group_name_Hall 'I 4 -2'
_cell_length_a 2.890
_cell_length_b 2.890
_cell_length_c 11.704
_cell_angle_alpha 90.00
_cell_angle_beta 90.00
_cell_angle_gamma 90.00
loop_
_atom_site_label
_atom_site_type_symbol
_atom_site_fract_x
_atom_site_fract_y
_atom_site_fract_z
Al1 Al 0.000 0.000 0.000
Fe1 Fe 0.000 0.000 0.369
Hg1 Hg 0.000 0.000 0.696
# - energy of formation (eV per atom) = 0.196
# - total magnetic moment (μB/f.u.) = 2.2

(5)
# GGA-PBE AlFeHg, relaxed
data_AlFeHg
_chemical_formula_sum 'Al4 Fe4 Hg4'
_symmetry_space_group_name_H-M 'F -4 3 m'
_symmetry_Int_Tables_number 216
_symmetry_space_group_name_Hall 'F -4 2 3'
_cell_length_a 6.078
_cell_length_b 6.078
_cell_length_c 6.078
_cell_angle_alpha 90.00
_cell_angle_beta 90.00
_cell_angle_gamma 90.00
loop_
_atom_site_label
_atom_site_type_symbol
_atom_site_fract_x
_atom_site_fract_y
_atom_site_fract_z
Al1 Al 0.000 0.000 0.000
Fe1 Fe 0.250 0.250 0.250
Hg1 Hg 0.000 0.000 0.500
# - energy of formation (eV per atom) = 0.370
# - total magnetic moment (μB/f.u.) = 2.2

(6)
# GGA-PBE Al3FeHg, relaxed
data_Al3FeHg
_chemical_formula_sum 'Al3 Fe1 Hg1'
_symmetry_space_group_name_H-M 'P m -3 m'
_symmetry_Int_Tables_number 221
_symmetry_space_group_name_Hall '-P 4 2 3'
_cell_length_a 4.570
_cell_length_b 4.570
_cell_length_c 4.570
_cell_angle_alpha 90.00
_cell_angle_beta 90.00
_cell_angle_gamma 90.00
loop_
_atom_site_label
_atom_site_type_symbol
_atom_site_fract_x
_atom_site_fract_y
_atom_site_fract_z
Al1 Al 0.000 0.000 0.500
Fe1 Fe 0.000 0.000 0.000
Hg1 Hg 0.500 0.500 0.500
# - energy of formation (eV per atom) = 0.087
# - total magnetic moment (μB/f.u.) = 0.0

(7)
# GGA-PBE AlFeHg, relaxed
data_AlFeHg
_chemical_formula_sum 'Al1 Fe1 Hg1'
_symmetry_space_group_name_H-M 'P 3 m 1'
_symmetry_Int_Tables_number 156
_symmetry_space_group_name_Hall 'P 3 -2"'
_cell_length_a 2.9354
_cell_length_b 2.9354
_cell_length_c 6.6798
_cell_angle_alpha 90.00
_cell_angle_beta 90.00
_cell_angle_gamma 120.00
loop_
_atom_site_label
_atom_site_type_symbol
_atom_site_fract_x
_atom_site_fract_y
_atom_site_fract_z
Al1 Al 0.0000 0.0000 0.0000
Fe1 Fe 0.3333 0.6667 0.2848
Hg1 Hg 0.6667 0.3333 0.6272
# - energy of formation (eV per atom) = 0.250
# - total magnetic moment (μB/f.u.) = 2.3

(8)
# GGA-PBE AlFeHg3, relaxed
data_AlFeHg3
_chemical_formula_sum 'Al1 Fe1 Hg3'
_symmetry_space_group_name_H-M 'P m -3 m'
_symmetry_Int_Tables_number 221
_symmetry_space_group_name_Hall '-P 4 2 3'
_cell_length_a 5.169
_cell_length_b 5.169
_cell_length_c 5.169
_cell_angle_alpha 90.00
_cell_angle_beta 90.00
_cell_angle_gamma 90.00
loop_
_atom_site_label
_atom_site_type_symbol
_atom_site_fract_x
_atom_site_fract_y
_atom_site_fract_z
Al1 Al 0.000 0.000 0.000
Fe1 Fe 0.500 0.500 0.500
Hg1 Hg 0.000 0.000 0.500
# - energy of formation (eV per atom) = 0.821
# - total magnetic moment (μB/f.u.) = 3.5

(9)
# GGA-PBE AlFeHg4, relaxed
data_AlFeHg4
_chemical_formula_sum 'Al4 Fe4 Hg16'
_symmetry_space_group_name_H-M 'F -4 3 m'
_symmetry_Int_Tables_number 216
_symmetry_space_group_name_Hall 'F -4 2 3'
_cell_length_a 8.272
_cell_length_b 8.272
_cell_length_c 8.272
_cell_angle_alpha 90.00
_cell_angle_beta 90.00
_cell_angle_gamma 90.00
loop_
_atom_site_label
_atom_site_type_symbol
_atom_site_fract_x
_atom_site_fract_y
_atom_site_fract_z
Al1 Al 0.000 0.000 0.000
Fe1 Fe 0.250 0.250 0.750
Hg1 Hg 0.125 0.125 0.375
# - energy of formation (eV per atom) = 0.688
# - total magnetic moment (μB/f.u.) = 3.2

(10)
# GGA-PBE AlFeHg3, relaxed
data_AlFeHg3
_chemical_formula_sum 'Al1 Fe1 Hg3'
_symmetry_space_group_name_H-M 'P m -3 m'
_symmetry_Int_Tables_number 221
_symmetry_space_group_name_Hall '-P 4 2 3'
_cell_length_a 5.107
_cell_length_b 5.107
_cell_length_c 5.107
_cell_angle_alpha 90.00
_cell_angle_beta 90.00
_cell_angle_gamma 90.00
loop_
_atom_site_label
_atom_site_type_symbol
_atom_site_fract_x
_atom_site_fract_y
_atom_site_fract_z
Al1 Al 0.000 0.000 0.000
Fe1 Fe 0.500 0.500 0.500
Hg1 Hg 0.000 0.500 0.500
# - energy of formation (eV per atom) = 0.601
# - total magnetic moment (μB/f.u.) = 2.1

(11)
# GGA-PBE AlFeHg2Ir, relaxed
data_AlFeHg2Ir
_chemical_formula_sum 'Al1 Fe1 Hg2 Ir1'
_symmetry_space_group_name_H-M 'P 4/m m m'
_symmetry_Int_Tables_number 123
_symmetry_space_group_name_Hall '-P 4 2'
_cell_length_a 5.251
_cell_length_b 5.251
_cell_length_c 4.716
_cell_angle_alpha 90.00
_cell_angle_beta 90.00
_cell_angle_gamma 90.00
loop_
_atom_site_label
_atom_site_type_symbol
_atom_site_fract_x
_atom_site_fract_y
_atom_site_fract_z
Al1 Al 0.000 0.000 0.000
Fe1 Fe 0.500 0.500 0.000
Hg1 Hg 0.000 0.500 0.500
Ir1 Ir 0.500 0.500 0.500
# - energy of formation (eV per atom) = 0.840
# - total magnetic moment (μB/f.u.) = 3.7

(12)
# GGA-PBE Na2AlFeHg, relaxed
data_Na2AlFeHg
_chemical_formula_sum 'Na2 Al1 Fe1 Hg1'
_symmetry_space_group_name_H-M 'P 4/m m m'
_symmetry_Int_Tables_number 123
_symmetry_space_group_name_Hall '-P 4 2'
_cell_length_a 5.552
_cell_length_b 5.552
_cell_length_c 4.716
_cell_angle_alpha 90.00
_cell_angle_beta 90.00
_cell_angle_gamma 90.00
loop_
_atom_site_label
_atom_site_type_symbol
_atom_site_fract_x
_atom_site_fract_y
_atom_site_fract_z
Na1 Na 0.000 0.500 0.000
Al1 Al 0.000 0.000 0.500
Fe1 Fe 0.000 0.000 0.000
Hg1 Hg 0.500 0.500 0.500
# - energy of formation (eV per atom) = 0.599
# - total magnetic moment (μB/f.u.) = 2.1

(13)
# GGA-PBE Nb2AlFeHg, relaxed
data_Nb2AlFeHg
_chemical_formula_sum 'Nb2 Al1 Fe1 Hg1'
_symmetry_space_group_name_H-M 'P 4/m m m'
_symmetry_Int_Tables_number 123
_symmetry_space_group_name_Hall '-P 4 2'
_cell_length_a 4.602
_cell_length_b 4.602
_cell_length_c 4.490
_cell_angle_alpha 90.00
_cell_angle_beta 90.00
_cell_angle_gamma 90.00
loop_
_atom_site_label
_atom_site_type_symbol
_atom_site_fract_x
_atom_site_fract_y
_atom_site_fract_z
Nb1 Nb 0.000 0.500 0.000
Al1 Al 0.000 0.000 0.500
Fe1 Fe 0.000 0.000 0.000
Hg1 Hg 0.500 0.500 0.500
# - energy of formation (eV per atom) = 0.430
# - total magnetic moment (μB/f.u.) = 0.0